1.
This record from the Alexandria database describes a geometry-optimized Pr6CdOs structure. The functional is PBE.

VASP energy (eV per formula unit): -40.35
Energy of formation (eV/atom): 0.06

Cell: 6.737 6.737 6.729 Å, 98.98 98.98 106.11°
Fractional positions:
Pr (0.051, 0.681, 0.718)
Pr (0.278, 0.278, 0.838)
Pr (0.319, 0.949, 0.282)
Pr (0.681, 0.051, 0.718)
Pr (0.722, 0.722, 0.162)
Pr (0.949, 0.319, 0.282)
Cd (0.500, 0.500, 0.500)
Os (0.000, 0.000, 0.000)

***

2.
This record from the Alexandria database describes a geometry-optimized Pr5Cd2Os2 structure. The functional is PBE.

VASP energy (eV per formula unit): -49.36
Energy of formation (eV/atom): -0.13

Cell: 9.236 9.236 7.928 Å, 90.00 90.00 49.83°
Fractional positions:
Pr (0.000, 0.000, 0.000)
Pr (0.064, 0.695, 0.685)
Pr (0.195, 0.564, 0.185)
Pr (0.305, 0.936, 0.685)
Pr (0.436, 0.805, 0.185)
Pr (0.500, 0.500, 0.500)
Pr (0.564, 0.195, 0.815)
Pr (0.695, 0.064, 0.315)
Pr (0.805, 0.436, 0.815)
Pr (0.936, 0.305, 0.315)
Cd (0.223, 0.223, 0.000)
Cd (0.277, 0.277, 0.500)
Cd (0.723, 0.723, 0.500)
Cd (0.777, 0.777, 0.000)
Os (0.111, 0.889, 0.386)
Os (0.389, 0.611, 0.886)
Os (0.611, 0.389, 0.114)
Os (0.889, 0.111, 0.614)

***

3.
This record from the Alexandria database describes a geometry-optimized Pr2CdOs structure. The functional is PBE.

VASP energy (eV per formula unit): -21.79
Energy above the most stable polymorph in this dataset (eV per atom): 0.073
Energy of formation (eV/atom): -0.02

Cell: 5.221 5.221 5.221 Å, 60.00 60.00 60.00°
Fractional positions:
Pr (0.250, 0.250, 0.250)
Pr (0.750, 0.750, 0.750)
Cd (0.000, 0.000, 0.000)
Os (0.500, 0.500, 0.500)

***

4.
This record from the Alexandria database describes a geometry-optimized Pr3Cd2Os structure. The functional is PBE.

VASP energy (eV per formula unit): -28.43
Energy of formation (eV/atom): -0.17

Cell: 5.240 7.918 8.194 Å, 90.00 108.54 90.00°
Fractional positions:
Pr (0.000, 0.229, 0.000)
Pr (0.000, 0.771, 0.000)
Pr (0.324, 0.219, 0.649)
Pr (0.324, 0.781, 0.649)
Pr (0.676, 0.219, 0.351)
Pr (0.676, 0.781, 0.351)
Cd (0.164, 0.500, 0.327)
Cd (0.500, 0.000, 0.000)
Cd (0.500, 0.500, 0.000)
Cd (0.836, 0.500, 0.673)
Os (0.160, 0.000, 0.319)
Os (0.840, 0.000, 0.681)

***

5.
This record from the Alexandria database describes a geometry-optimized Pr6Cd2Os structure. The functional is PBE.

VASP energy (eV per formula unit): -42.50
Energy above the most stable polymorph in this dataset (eV per atom): 0.000
Energy of formation (eV/atom): -0.08

Cell: 7.131 7.630 12.999 Å, 90.00 122.44 90.00°
Fractional positions:
Pr (0.152, 0.184, 0.459)
Pr (0.152, 0.316, 0.959)
Pr (0.283, 0.696, 0.459)
Pr (0.283, 0.804, 0.959)
Pr (0.344, 0.503, 0.748)
Pr (0.344, 0.997, 0.248)
Pr (0.656, 0.003, 0.752)
Pr (0.656, 0.497, 0.252)
Pr (0.717, 0.196, 0.041)
Pr (0.717, 0.304, 0.541)
Pr (0.848, 0.684, 0.041)
Pr (0.848, 0.816, 0.541)
Cd (0.200, 0.092, 0.750)
Cd (0.200, 0.408, 0.250)
Cd (0.800, 0.592, 0.750)
Cd (0.800, 0.908, 0.250)
Os (0.000, 0.000, 0.000)
Os (0.000, 0.500, 0.500)

***

6.
This record from the Alexandria database describes a geometry-optimized Pr8Cd2Os structure. The functional is PBE.

VASP energy (eV per formula unit): -52.33
Energy of formation (eV/atom): -0.09

Cell: 9.550 9.550 7.205 Å, 108.03 108.03 33.63°
Fractional positions:
Pr (0.018, 0.018, 0.288)
Pr (0.200, 0.200, 0.781)
Pr (0.349, 0.349, 0.552)
Pr (0.408, 0.408, 0.082)
Pr (0.592, 0.592, 0.918)
Pr (0.651, 0.651, 0.448)
Pr (0.800, 0.800, 0.219)
Pr (0.982, 0.982, 0.712)
Cd (0.181, 0.181, 0.203)
Cd (0.819, 0.819, 0.797)
Os (0.500, 0.500, 0.500)

***

7.
This record from the Alexandria database describes a geometry-optimized Pr2CdOs structure. The functional is PBE.

VASP energy (eV per formula unit): -20.80
Energy above the most stable polymorph in this dataset (eV per atom): 0.321
Energy of formation (eV/atom): 0.23

Cell: 10.367 10.367 10.367 Å, 23.05 23.05 23.05°
Fractional positions:
Pr (0.116, 0.116, 0.116)
Pr (0.884, 0.884, 0.884)
Cd (0.000, 0.000, 0.000)
Os (0.500, 0.500, 0.500)

***

8.
This record from the Alexandria database describes a geometry-optimized CdOsPt3 structure. The functional is PBE.

VASP energy (eV per formula unit): -24.77
Energy above the most stable polymorph in this dataset (eV per atom): 0.000
Energy of formation (eV/atom): 1.10

Cell: 4.847 4.847 4.847 Å, 90.00 90.00 90.00°
Fractional positions:
Cd (0.000, 0.000, 0.000)
Os (0.500, 0.500, 0.500)
Pt (0.000, 0.500, 0.500)
Pt (0.500, 0.000, 0.500)
Pt (0.500, 0.500, 0.000)

***

Which of these has the lowest VASP energy?
Pr8Cd2Os

***

What is the formula in the second record?
Pr5Cd2Os2